# Si2Tc2Ag

Si2Tc2Ag after structural relaxation (GGA-PBE, the Alexandria database).

a b c (Å): 7.1048 7.1048 2.9457
angles (deg): 90.00 90.00 90.00
Element x y z (fractional)
1 Tc 0.6419 0.1419 0.0000
2 Si 0.3504 0.1496 0.5000
3 Ag 0.0000 0.0000 0.0000
4 Si 0.1496 0.6496 0.5000
5 Tc 0.8581 0.6419 0.0000
6 Si 0.6496 0.8504 0.5000
7 Si 0.8504 0.3504 0.5000
8 Tc 0.3581 0.8581 0.0000
9 Ag 0.5000 0.5000 0.0000
10 Tc 0.1419 0.3581 0.0000

The total magnetization is 0.000 Bohr magnetons per cell. As for the theoretical density: 8.04 Mg/m³. The formation energy from raw total energies comes out at -39 kJ/mol of formula units. As for the total DFT energy (no corrections): -69.7 eV for the cell shown.